# 1
A geometry-optimized Li2HOsPt structure. Source: Alexandria, functional GGA-PBE.

Summary:
The calculation puts the energy relative to the lowest polymorph listed for this composition at 190.2 meV per atom. The density of states at the Fermi level comes out at 0.811 states/eV/atom.

```
data_Li2HOsPt
_chemical_formula_sum 'Li2 H1 Os1 Pt1'
_cell_length_a 3.8662
_cell_length_b 3.8662
_cell_length_c 3.7372
_cell_angle_alpha 90.00
_cell_angle_beta 90.00
_cell_angle_gamma 90.00
_symmetry_space_group_name_H-M 'P 4/m m m'
_symmetry_Int_Tables_number 123
_symmetry_space_group_name_Hall '-P 4 2'
loop_
_atom_site_label
_atom_site_type_symbol
_atom_site_fract_x
_atom_site_fract_y
_atom_site_fract_z
Li1 Li 0.0000 0.5000 0.0000
H1 H 0.0000 0.0000 0.0000
Os1 Os 0.5000 0.5000 0.5000
Pt1 Pt 0.0000 0.0000 0.5000
```


# 2
A geometry-optimized NaZnHg2 structure. Source: Alexandria, functional GGA-PBE.

Summary:
The density of states at the Fermi level comes out at 0.247 states/eV/atom. As for the formation energy: -0.21 eV/f.u.

```
data_NaZnHg2
_chemical_formula_sum 'Na3 Zn3 Hg6'
_cell_length_a 4.2314
_cell_length_b 4.2314
_cell_length_c 20.0502
_cell_angle_alpha 90.00
_cell_angle_beta 90.00
_cell_angle_gamma 120.00
_symmetry_space_group_name_H-M 'R 3 m'
_symmetry_Int_Tables_number 160
_symmetry_space_group_name_Hall 'R 3 -2"'
loop_
_atom_site_label
_atom_site_type_symbol
_atom_site_fract_x
_atom_site_fract_y
_atom_site_fract_z
Na1 Na 0.0000 0.0000 0.0000
Zn1 Zn 0.0000 0.0000 0.8300
Hg1 Hg 0.0000 0.0000 0.2352
Hg2 Hg 0.0000 0.0000 0.4284
```


# 3
A geometry-optimized KBe2Cu structure. Source: Alexandria, functional GGA-PBE.

Summary:
The calculation puts the energy relative to the lowest polymorph listed for this composition at 891.7 meV per atom. The density of states at the Fermi level comes out at 0.236 states/eV/atom. As for the formation energy: 4.46 eV/f.u.

```
data_KBe2Cu
_chemical_formula_sum 'K1 Be2 Cu1'
_cell_length_a 2.6312
_cell_length_b 4.9025
_cell_length_c 5.0335
_cell_angle_alpha 90.00
_cell_angle_beta 90.00
_cell_angle_gamma 90.00
_symmetry_space_group_name_H-M 'P m m m'
_symmetry_Int_Tables_number 47
_symmetry_space_group_name_Hall '-P 2 2'
loop_
_atom_site_label
_atom_site_type_symbol
_atom_site_fract_x
_atom_site_fract_y
_atom_site_fract_z
K1 K 0.0000 0.0000 0.0000
Be1 Be 0.0000 0.5000 0.5000
Be2 Be 0.5000 0.0000 0.5000
Cu1 Cu 0.5000 0.5000 0.0000
```


# 4
A geometry-optimized NdYMgCd structure. Source: Alexandria, functional GGA-PBE.

Summary:
The density of states at the Fermi level comes out at 1.209 states/eV/atom. As for the formation energy: -0.88 eV/f.u.

```
data_NdYMgCd
_chemical_formula_sum 'Nd4 Y4 Mg4 Cd4'
_cell_length_a 7.6445
_cell_length_b 7.6445
_cell_length_c 7.6445
_cell_angle_alpha 90.00
_cell_angle_beta 90.00
_cell_angle_gamma 90.00
_symmetry_space_group_name_H-M 'F -4 3 m'
_symmetry_Int_Tables_number 216
_symmetry_space_group_name_Hall 'F -4 2 3'
loop_
_atom_site_label
_atom_site_type_symbol
_atom_site_fract_x
_atom_site_fract_y
_atom_site_fract_z
Nd1 Nd 0.0000 0.0000 0.0000
Y1 Y 0.0000 0.0000 0.5000
Mg1 Mg 0.2500 0.2500 0.2500
Cd1 Cd 0.2500 0.2500 0.7500
```


# 5
A geometry-optimized PrZn2Rh2 structure. Source: Alexandria, functional GGA-PBE.

Summary:
The calculation puts the energy relative to the lowest polymorph listed for this composition at 146.8 meV per atom. The density of states at the Fermi level comes out at 0.810 states/eV/atom. As for the formation energy: -1.79 eV/f.u.

```
data_PrZn2Rh2
_chemical_formula_sum 'Pr4 Zn8 Rh8'
_cell_length_a 5.7202
_cell_length_b 9.8775
_cell_length_c 7.3497
_cell_angle_alpha 90.00
_cell_angle_beta 112.81
_cell_angle_gamma 90.00
_symmetry_space_group_name_H-M 'C 1 2/c 1'
_symmetry_Int_Tables_number 15
_symmetry_space_group_name_Hall '-C 2yc'
loop_
_atom_site_label
_atom_site_type_symbol
_atom_site_fract_x
_atom_site_fract_y
_atom_site_fract_z
Pr1 Pr 0.0000 0.1252 0.2500
Zn1 Zn 0.1011 0.3746 0.9524
Rh1 Rh 0.0000 0.1598 0.7500
Rh2 Rh 0.0000 0.4106 0.2500
```


# 6
A geometry-optimized LaHg2Sb structure. Source: Alexandria, functional GGA-PBE.

Summary:
The density of states at the Fermi level comes out at 0.128 states/eV/atom. For the uncorrected formation energy, the calculation gives -1.65 eV/f.u.

```
data_LaHg2Sb
_chemical_formula_sum 'La4 Hg8 Sb4'
_cell_length_a 8.6341
_cell_length_b 8.6341
_cell_length_c 6.3833
_cell_angle_alpha 90.00
_cell_angle_beta 90.00
_cell_angle_gamma 90.00
_symmetry_space_group_name_H-M 'I -4 2 d'
_symmetry_Int_Tables_number 122
_symmetry_space_group_name_Hall 'I -4 2bw'
loop_
_atom_site_label
_atom_site_type_symbol
_atom_site_fract_x
_atom_site_fract_y
_atom_site_fract_z
La1 La 0.0000 0.0000 0.0000
Hg1 Hg 0.2281 0.7500 0.6250
Sb1 Sb 0.0000 0.0000 0.5000
```


# 7
A geometry-optimized Tb3Pa structure. Source: Alexandria, functional GGA-PBE.

Summary:
The calculation puts the energy relative to the lowest polymorph listed for this composition at 11.4 meV per atom. The density of states at the Fermi level comes out at 1.926 states/eV/atom. As for the formation energy: 0.82 eV/f.u.

```
data_Tb3Pa
_chemical_formula_sum 'Tb3 Pa1'
_cell_length_a 3.4239
_cell_length_b 5.7017
_cell_length_c 6.1236
_cell_angle_alpha 90.00
_cell_angle_beta 90.00
_cell_angle_gamma 90.00
_symmetry_space_group_name_H-M 'P m m 2'
_symmetry_Int_Tables_number 25
_symmetry_space_group_name_Hall 'P 2 -2'
loop_
_atom_site_label
_atom_site_type_symbol
_atom_site_fract_x
_atom_site_fract_y
_atom_site_fract_z
Tb1 Tb 0.0000 0.0000 0.0000
Tb2 Tb 0.0000 0.5000 0.3184
Tb3 Tb 0.5000 0.5000 0.8012
Pa1 Pa 0.5000 0.0000 0.4885
```


# 8
A geometry-optimized VPBr3 structure. Source: Alexandria, functional GGA-PBE.

Summary:
The calculation puts the energy relative to the lowest polymorph listed for this composition at 0.0 meV per atom. The density of states at the Fermi level comes out at 1.183 states/eV/atom. For the uncorrected formation energy, the calculation gives 0.93 eV/f.u.

```
data_VPBr3
_chemical_formula_sum 'V1 P1 Br3'
_cell_length_a 5.1501
_cell_length_b 5.1501
_cell_length_c 5.1501
_cell_angle_alpha 90.00
_cell_angle_beta 90.00
_cell_angle_gamma 90.00
_symmetry_space_group_name_H-M 'P m -3 m'
_symmetry_Int_Tables_number 221
_symmetry_space_group_name_Hall '-P 4 2 3'
loop_
_atom_site_label
_atom_site_type_symbol
_atom_site_fract_x
_atom_site_fract_y
_atom_site_fract_z
V1 V 0.0000 0.0000 0.0000
P1 P 0.5000 0.5000 0.5000
Br1 Br 0.0000 0.0000 0.5000
```


# 9
A geometry-optimized TcAsRh structure. Source: Alexandria, functional GGA-PBE.

Summary:
The calculation puts the energy relative to the lowest polymorph listed for this composition at 152.0 meV per atom. The density of states at the Fermi level comes out at 1.060 states/eV/atom. As for the formation energy: 0.30 eV/f.u.

```
data_TcAsRh
_chemical_formula_sum 'Tc2 As2 Rh2'
_cell_length_a 2.9168
_cell_length_b 3.9734
_cell_length_c 7.7178
_cell_angle_alpha 90.00
_cell_angle_beta 90.00
_cell_angle_gamma 90.00
_symmetry_space_group_name_H-M 'I m m 2'
_symmetry_Int_Tables_number 44
_symmetry_space_group_name_Hall 'I 2 -2'
loop_
_atom_site_label
_atom_site_type_symbol
_atom_site_fract_x
_atom_site_fract_y
_atom_site_fract_z
Tc1 Tc 0.0000 0.0000 0.0000
As1 As 0.0000 0.0000 0.6734
Rh1 Rh 0.0000 0.0000 0.3478
```


# 10
A geometry-optimized Zr2TiPb structure. Source: Alexandria, functional GGA-PBE.

Summary:
The density of states at the Fermi level comes out at 0.899 states/eV/atom. As for the formation energy: 0.18 eV/f.u.

```
data_Zr2TiPb
_chemical_formula_sum 'Zr6 Ti3 Pb3'
_cell_length_a 3.2546
_cell_length_b 3.2546
_cell_length_c 29.7878
_cell_angle_alpha 90.00
_cell_angle_beta 90.00
_cell_angle_gamma 120.00
_symmetry_space_group_name_H-M 'R -3 m'
_symmetry_Int_Tables_number 166
_symmetry_space_group_name_Hall '-R 3 2"'
loop_
_atom_site_label
_atom_site_type_symbol
_atom_site_fract_x
_atom_site_fract_y
_atom_site_fract_z
Zr1 Zr 0.0000 0.0000 0.2455
Ti1 Ti 0.0000 0.0000 0.5000
Pb1 Pb 0.0000 0.0000 0.0000
```


# 11
A geometry-optimized Hf2NbPt2 structure. Source: Alexandria, functional GGA-PBE.

Summary:
The calculation puts the energy relative to the lowest polymorph listed for this composition at 116.3 meV per atom. The density of states at the Fermi level comes out at 0.513 states/eV/atom. As for the formation energy: -3.07 eV/f.u.

```
data_Hf2NbPt2
_chemical_formula_sum 'Hf4 Nb2 Pt4'
_cell_length_a 7.7301
_cell_length_b 7.7301
_cell_length_c 3.1586
_cell_angle_alpha 90.00
_cell_angle_beta 90.00
_cell_angle_gamma 90.00
_symmetry_space_group_name_H-M 'P 4/m b m'
_symmetry_Int_Tables_number 127
_symmetry_space_group_name_Hall '-P 4 2ab'
loop_
_atom_site_label
_atom_site_type_symbol
_atom_site_fract_x
_atom_site_fract_y
_atom_site_fract_z
Hf1 Hf 0.1597 0.3403 0.0000
Nb1 Nb 0.0000 0.0000 0.0000
Pt1 Pt 0.1401 0.6401 0.5000
```


# 12
A geometry-optimized BaNbIn2F8 structure. Source: Alexandria, functional GGA-PBE.

Summary:
The density of states at the Fermi level comes out at 0.131 states/eV/atom. For the uncorrected formation energy, the calculation gives -32.72 eV/f.u.

```
data_BaNbIn2F8
_chemical_formula_sum 'Ba1 Nb1 In2 F8'
_cell_length_a 4.6685
_cell_length_b 7.9683
_cell_length_c 6.4709
_cell_angle_alpha 90.00
_cell_angle_beta 92.25
_cell_angle_gamma 90.00
_symmetry_space_group_name_H-M 'P 1 2/m 1'
_symmetry_Int_Tables_number 10
_symmetry_space_group_name_Hall '-P 2y'
loop_
_atom_site_label
_atom_site_type_symbol
_atom_site_fract_x
_atom_site_fract_y
_atom_site_fract_z
Ba1 Ba 0.0000 0.0000 0.0000
Nb1 Nb 0.0000 0.5000 0.0000
In1 In 0.5000 0.2486 0.5000
F1 F 0.1100 0.3001 0.8154
F2 F 0.3512 0.5000 0.1734
F3 F 0.4713 0.0000 0.2495
```


Ordered VASP energy results: -4.712, -0.851, -2.046, -3.655, -4.765, -2.827, -5.641, -3.723, -7.355, -7.130, -9.026, -5.430; unit eV per atom.